No. 1
# UTl2Br8

UTl2Br8 after structural relaxation (GGA-PBE, Alexandria via LeMat-Bulk).

Summary:
E above lowest polymorph: 11.4 kJ per mole of atoms
Volume: 393.4 Å³/cell
Space group: C2/m (12)
Energy relative to the elements, uncorrected: -0.850 eV/atom

a = 5.117 Å, b = 7.120 Å, c = 11.500 Å
α = 105.22°, β = 102.85°, γ = 90.00°
Element x y z (fractional)
U1 0.500 0.000 0.000
Tl1 0.814 0.368 0.629
Tl2 0.186 0.632 0.371
Br1 0.425 0.628 0.850
Br2 0.613 0.935 0.225
Br3 0.768 0.746 0.537
Br4 0.983 0.203 0.967
Br5 0.232 0.254 0.463
Br6 0.387 0.065 0.775
Br7 0.575 0.372 0.150
Br8 0.017 0.797 0.033

No. 2
# Cr2CoMo

Cr2CoMo after structural relaxation (GGA-PBE, Alexandria via LeMat-Bulk).

Summary:
Volume: 50.6 Å³/cell
ΔH_f (0 K): 178 meV/atom
Space group: C2/m (12)

a = 4.823 Å, b = 4.886 Å, c = 2.545 Å
α = 79.52°, β = 80.85°, γ = 116.88°
Element x y z (fractional)
Co1 0.500 0.500 0.000
Cr1 0.000 0.000 0.000
Cr2 0.500 0.000 0.500
Mo1 0.000 0.500 0.500

No. 3
# MnRu2Br

MnRu2Br after structural relaxation (GGA-PBE, Alexandria via LeMat-Bulk).

Summary:
E above lowest polymorph: 26.0 kJ per mole of atoms
Volume: 62.3 Å³/cell
Space group: Cm (8)
Energy relative to the elements, uncorrected: 0.682 eV/atom

a = 5.034 Å, b = 5.034 Å, c = 4.414 Å
α = 87.29°, β = 87.29°, γ = 33.89°
Element x y z (fractional)
Br1 0.491 0.491 0.513
Mn1 0.725 0.725 0.761
Ru1 0.006 0.006 0.021
Ru2 0.278 0.278 0.204

No. 4
# Ba2LiMg12Zn3

Ba2LiMg12Zn3 after structural relaxation (GGA-PBE, Alexandria via LeMat-Bulk).

Summary:
Volume: 560.3 Å³/cell
ΔH_f (0 K): 236 meV/atom
Space group: R-3m (166)

a = 8.971 Å, b = 8.971 Å, c = 8.971 Å
α = 64.45°, β = 64.45°, γ = 64.45°
Element x y z (fractional)
Ba1 0.606 0.606 0.606
Ba2 0.394 0.394 0.394
Li1 0.000 0.000 0.000
Mg1 0.322 0.322 0.917
Mg2 0.886 0.886 0.361
Mg3 0.361 0.886 0.886
Mg4 0.917 0.322 0.322
Mg5 0.886 0.361 0.886
Mg6 0.322 0.917 0.322
Mg7 0.678 0.678 0.083
Mg8 0.114 0.114 0.639
Mg9 0.639 0.114 0.114
Mg10 0.083 0.678 0.678
Mg11 0.114 0.639 0.114
Mg12 0.678 0.083 0.678
Zn1 0.500 0.000 0.000
Zn2 0.000 0.500 0.000
Zn3 0.000 0.000 0.500

No. 5
# Rb2ThNpTe4

Rb2ThNpTe4 after structural relaxation (GGA-PBE, Alexandria via LeMat-Bulk).

Summary:
Volume: 313.1 Å³/cell
Space group: P2/m (10)
Energy relative to the elements, uncorrected: -1.034 eV/atom

a = 4.574 Å, b = 7.925 Å, c = 9.031 Å
α = 107.01°, β = 90.00°, γ = 90.00°
Element x y z (fractional)
Rb1 0.500 0.000 0.500
Rb2 0.000 0.500 0.500
Th1 0.500 0.500 0.000
Np1 0.000 0.000 0.000
Te1 0.500 0.236 0.204
Te2 0.500 0.764 0.796
Te3 0.000 0.266 0.793
Te4 0.000 0.734 0.207

No. 6
# BaLa3

BaLa3 after structural relaxation (GGA-PBE, Alexandria via LeMat-Bulk).

Summary:
E above lowest polymorph: 2.3 kJ per mole of atoms
Volume: 164.4 Å³/cell
ΔH_f (0 K): 107 meV/atom
Space group: P2/m (10)

a = 5.349 Å, b = 3.819 Å, c = 8.910 Å
α = 64.57°, β = 90.00°, γ = 90.00°
Element x y z (fractional)
Ba1 0.000 0.000 0.000
La1 0.500 0.788 0.713
La2 0.000 0.500 0.500
La3 0.500 0.212 0.287

No. 7
# SrEuDyTl

SrEuDyTl after structural relaxation (GGA-PBE, Alexandria via LeMat-Bulk).

Summary:
Volume: 135.7 Å³/cell
ΔH_f (0 K): -11 meV/atom
Space group: F-43m (216)

a = 5.768 Å, b = 5.768 Å, c = 5.768 Å
α = 60.00°, β = 60.00°, γ = 60.00°
Element x y z (fractional)
Eu1 0.500 0.500 0.500
Sr1 0.750 0.750 0.750
Tl1 0.000 0.000 0.000
Dy1 0.250 0.250 0.250

No. 8
# Zn6CuRh2

Zn6CuRh2 after structural relaxation (GGA-PBE, Alexandria via LeMat-Bulk).

Summary:
E above lowest polymorph: 0.0 kJ per mole of atoms
Volume: 126.7 Å³/cell
ΔH_f (0 K): -228 meV/atom
Space group: C2/m (12)

a = 3.744 Å, b = 6.200 Å, c = 6.077 Å
α = 108.32°, β = 107.94°, γ = 90.00°
Element x y z (fractional)
Zn1 0.396 0.835 0.792
Zn2 0.604 0.165 0.208
Zn3 0.720 0.828 0.441
Zn4 0.156 0.496 0.313
Zn5 0.280 0.172 0.559
Zn6 0.844 0.504 0.687
Cu1 0.500 0.500 0.000
Rh1 0.937 0.165 0.874
Rh2 0.063 0.835 0.126